AcTb7Er2, relaxed, DFT PBE; total magnetization = 0.00 μB/cell; ΔE_f = 53 meV per atom; E_tot = -45.1 eV per cell
1.0
5.160 -1.627 0.864
-2.775 7.646 -3.797
1.292 -0.089 9.481
Tb Er Ac
7 2 1
Cartesian
0.511 4.376 5.170 Tb
3.715 4.410 3.466 Tb
-0.037 1.521 3.082 Tb
-0.823 6.137 -0.923 Tb
1.193 3.010 -1.466 Tb
4.501 -0.207 7.471 Tb
3.166 1.554 1.378 Tb
2.524 1.430 4.994 Er
1.154 4.501 1.554 Er
0.000 0.000 0.000 Ac